Li2MnCoO4 | PBE+U | relaxed

abc: 6.0009 3.0293 8.0912
angles: 90.00 90.74 90.00
Closest atoms and distances in Å follow each position.
Space group P2_1/m (No. 11)
Inequivalent atoms, fractional coordinates:
Li  0.1234  0.2500  0.1289  6 O 2.10-2.18
Li  0.3713  0.7500  0.3792  6 O 2.07-2.20
Mn  0.3714  0.7500  0.8727  6 O 1.92-2.11
Co  0.1225  0.2500  0.6241  6 O 1.91-2.09
O  0.1106  0.2500  0.3883  3 Co 1.91-2.06, 1 Li 2.10
O  0.1321  0.2500  0.8623  1 Co 1.93, 2 Mn 2.09, 3 Li 2.16
O  0.3631  0.7500  0.6354  1 Mn 1.92, 1 Li 2.07, 2 Co 2.09
O  0.3831  0.7500  0.1129  3 Mn 1.94-2.11, 1 Li 2.16

energy above the lowest structure with this stoichiometry = 0.054 eV per atom